Record 1
DFT (PBE) results for a geometry-optimized Zn4Pt structure.

```
5
Lattice="-3.0844 3.0844 1.9126 3.0844 -3.0844 1.9126 3.0844 3.0844 -1.9126" Properties=species:S:1:pos:R:3 pbc="T T T"
Zn 1.8373 0.6325 0.0000
Zn 2.4519 -1.2471 1.9126
Zn 0.6325 4.3315 0.0000
Zn 1.2471 2.4519 1.9126
Pt 0.0000 0.0000 1.9126
```

* ΔE_f: -0.315 eV per atom
* space group: I4/m, No. 87
* raw total energy: -12.7 eV per cell
* density: 10420 kg/m³

=====

Record 2
DFT (PBE) results for a geometry-optimized TlHgBr2 structure.

```
4
Lattice="2.4021 1.3868 6.8233 -2.4021 1.3868 6.8233 0.0000 -2.7737 6.8233" Properties=species:S:1:pos:R:3 pbc="T T T"
Tl 0.0000 0.0000 0.0000
Hg 0.0000 0.0000 10.2350
Br 0.0000 0.0000 4.9850
Br 0.0000 0.0000 15.4850
```

* uncorrected formation energy: -0.441 eV per atom
* space group: R-3m, No. 166
* raw total energy: -7.8 eV per cell
* energy above the most stable polymorph in this dataset: 80 meV/atom
* density: 6876 kg/m³

=====

Record 3
DFT (PBE) results for a geometry-optimized CaAl8Ni2 structure.

```
11
Lattice="5.6003 0.0000 0.0000 0.0000 5.6003 0.0000 0.0000 0.0000 8.0496" Properties=species:S:1:pos:R:3 pbc="T T T"
Ca 0.0000 0.0000 0.0000
Al 1.4078 1.4078 2.6242
Al 1.4078 1.4078 5.4254
Al 1.4078 4.1925 2.6242
Al 1.4078 4.1925 5.4254
Al 4.1925 1.4078 2.6242
Al 4.1925 1.4078 5.4254
Al 4.1925 4.1925 2.6242
Al 4.1925 4.1925 5.4254
Ni 0.0000 2.8001 4.0248
Ni 2.8001 0.0000 4.0248
```

* ΔE_f: 0.013 eV per atom
* space group: P4/mmm, No. 123
* raw total energy: -43.4 eV per cell
* energy above the most stable polymorph in this dataset: 404 meV/atom
* density: 2455 kg/m³